[1]
First-principles (PBE) data for a relaxed structure of HgPd7, as listed in Alexandria via LeMat-Bulk.

- Total magnetization: 0.00 μB/cell
- Theoretical density: 12.25 g/cm3
- Distance to the lowest polymorph of the same formula: 0.0072 eV/atom
- Formation energy: -0.05 eV per atom

Unit cell a=8.004 b=8.004 c=8.004 alpha=90.00 beta=90.00 gamma=90.00
Space group Fm-3m (No. 225)
Unique sites:
Hg1 0.000 0.000 0.000
Pd1 0.000 0.000 0.500
Pd2 0.000 0.250 0.250



[2]
First-principles (PBE) data for a relaxed structure of RbPm2As, as listed in Alexandria via LeMat-Bulk.

- Total magnetization: 0.00 μB/cell
- Theoretical density: 6.37 g/cm3
- Formation energy: -0.02 eV per atom

Unit cell a=5.021 b=5.021 c=4.653 alpha=90.00 beta=90.00 gamma=90.00
Space group P4/mmm (No. 123)
Unique sites:
Rb1 0.000 0.000 0.000
Pm1 0.000 0.500 0.500
As1 0.500 0.500 0.000